(1)
# BeAl2CoS

A relaxed structure of BeAl2CoS (GGA-PBE, the Alexandria database).

Output
ΔE_f (raw): 768 meV/atom
Space-group type: P4/mmm (123)
Volume: 82.3 Å³/cell

a b c (Å): 4.3967 4.3967 4.2584
angles (deg): 90.00 90.00 90.00
Atoms (fractional coordinates):
Be 0.0000 0.0000 0.0000
Al 0.0000 0.5000 0.0000
Al 0.5000 0.0000 0.0000
Co 0.5000 0.5000 0.5000
S 0.0000 0.0000 0.5000

---

(2)
# BeAlCoSi2

A relaxed structure of BeAlCoSi2 (GGA-PBE, the Alexandria database).

Output
ΔE_f (raw): 1391 meV/atom
Space-group type: P4/mmm (123)
Volume: 92.9 Å³/cell

a b c (Å): 4.7137 4.7137 4.1792
angles (deg): 90.00 90.00 90.00
Atoms (fractional coordinates):
Be 0.0000 0.0000 0.0000
Al 0.0000 0.0000 0.5000
Co 0.5000 0.5000 0.0000
Si 0.0000 0.5000 0.5000
Si 0.5000 0.0000 0.5000

---

(3)
# BeAlCo2Tc

A relaxed structure of BeAlCo2Tc (GGA-PBE, the Alexandria database).

Output
E_form: 7.27 eV/f.u.
Space-group type: P4/mmm (123)
Volume: 89.1 Å³/cell

a b c (Å): 4.3804 4.3804 4.6421
angles (deg): 90.00 90.00 90.00
Atoms (fractional coordinates):
Be 0.0000 0.0000 0.0000
Al 0.5000 0.5000 0.0000
Co 0.0000 0.5000 0.5000
Co 0.5000 0.0000 0.5000
Tc 0.5000 0.5000 0.5000

---

(4)
# Th2BeAlCo6

A relaxed structure of Th2BeAlCo6 (GGA-PBE, the Alexandria database).

Output
E_form: -0.59 eV/f.u.
Space-group type: Fm-3m (225)
Volume: 148.9 Å³/cell

a b c (Å): 5.9496 5.9496 5.9496
angles (deg): 60.00 60.00 60.00
Atoms (fractional coordinates):
Th 0.2500 0.2500 0.2500
Th 0.7500 0.7500 0.7500
Be 0.0000 0.0000 0.0000
Al 0.5000 0.5000 0.5000
Co 0.2357 0.2357 0.7643
Co 0.2357 0.7643 0.2357
Co 0.2357 0.7643 0.7643
Co 0.7643 0.2357 0.2357
Co 0.7643 0.2357 0.7643
Co 0.7643 0.7643 0.2357

---

(5)
# Ti2Be2AlCo5

A relaxed structure of Ti2Be2AlCo5 (GGA-PBE, the Alexandria database).

Output
E_form: -4.27 eV/f.u.
Space-group type: P4/mbm (127)
Volume: 221.8 Å³/cell

a b c (Å): 8.6327 8.6327 2.9760
angles (deg): 90.00 90.00 90.00
Atoms (fractional coordinates):
Ti 0.1757 0.3243 0.0000
Ti 0.3243 0.8243 0.0000
Ti 0.6757 0.1757 0.0000
Ti 0.8243 0.6757 0.0000
Be 0.1210 0.6210 0.0000
Be 0.3790 0.1210 0.0000
Be 0.6210 0.8790 0.0000
Be 0.8790 0.3790 0.0000
Al 0.0000 0.0000 0.0000
Al 0.5000 0.5000 0.0000
Co 0.0000 0.5000 0.5000
Co 0.0695 0.7873 0.5000
Co 0.2127 0.0695 0.5000
Co 0.2873 0.5695 0.5000
Co 0.4305 0.2873 0.5000
Co 0.5000 0.0000 0.5000
Co 0.5695 0.7127 0.5000
Co 0.7127 0.4305 0.5000
Co 0.7873 0.9305 0.5000
Co 0.9305 0.2127 0.5000

---

(6)
# TiBeAl2Co

A relaxed structure of TiBeAl2Co (GGA-PBE, the Alexandria database).

Output
E_form: 0.88 eV/f.u.
Space-group type: P4/mmm (123)
Volume: 68.8 Å³/cell

a b c (Å): 4.2054 4.2054 3.8925
angles (deg): 90.00 90.00 90.00
Atoms (fractional coordinates):
Ti 0.0000 0.0000 0.0000
Be 0.5000 0.5000 0.5000
Al 0.0000 0.5000 0.5000
Al 0.5000 0.0000 0.5000
Co 0.5000 0.5000 0.0000

---

(7)
# Y2BeAlCo6

A relaxed structure of Y2BeAlCo6 (GGA-PBE, the Alexandria database).

Output
E_form: 1.10 eV/f.u.
Space-group type: Fm-3m (225)
Volume: 146.5 Å³/cell

a b c (Å): 5.9172 5.9172 5.9172
angles (deg): 60.00 60.00 60.00
Atoms (fractional coordinates):
Y 0.2500 0.2500 0.2500
Y 0.7500 0.7500 0.7500
Be 0.0000 0.0000 0.0000
Al 0.5000 0.5000 0.5000
Co 0.2344 0.2344 0.7656
Co 0.2344 0.7656 0.2344
Co 0.2344 0.7656 0.7656
Co 0.7656 0.2344 0.2344
Co 0.7656 0.2344 0.7656
Co 0.7656 0.7656 0.2344

---

(8)
# BeAl2Cr

A relaxed structure of BeAl2Cr (GGA-PBE, the Alexandria database).

Output
E_form: 0.57 eV/f.u.
Space-group type: P4mm (99)
Volume: 51.6 Å³/cell

a b c (Å): 2.5993 2.5993 7.6324
angles (deg): 90.00 90.00 90.00
Atoms (fractional coordinates):
Be 0.0000 0.0000 0.0000
Al 0.0000 0.0000 0.4667
Al 0.5000 0.5000 0.7722
Cr 0.5000 0.5000 0.2139